1.
# KBi4Pb6 (PBE, optimized geometry)
# * energy above the most stable polymorph in this dataset: 0.18 eV/f.u.
# * magnetic moment: 0.000 μB/f.u.
# * calculated formation energy: -0.029 eV per atom
# * space group: I4/mmm, No. 139
# * N(E_F): 0.56 states/eV per atom
# * electronic total energy: -3.56 eV per atom
data_KBi4Pb6
_space_group_name_H-M_alt 'P 1'
_space_group_IT_number 1
_cell_length_a 5.0838
_cell_length_b 5.0838
_cell_length_c 16.7341
_cell_angle_alpha 98.74
_cell_angle_beta 98.74
_cell_angle_gamma 90.00
loop_
_space_group_symop_operation_xyz
'x,y,z'
loop_
_atom_site_label
_atom_site_type_symbol
_atom_site_fract_x
_atom_site_fract_y
_atom_site_fract_z
K1 K 0.0000 0.0000 0.0000
Bi1 Bi 0.4482 0.4482 0.8964
Bi2 Bi 0.1834 0.1834 0.3667
Bi3 Bi 0.8166 0.8166 0.6333
Bi4 Bi 0.5518 0.5518 0.1036
Pb1 Pb 0.7500 0.2500 0.5000
Pb2 Pb 0.8856 0.3856 0.7711
Pb3 Pb 0.1144 0.6144 0.2289
Pb4 Pb 0.6144 0.1144 0.2289
Pb5 Pb 0.3856 0.8856 0.7711
Pb6 Pb 0.2500 0.7500 0.5000

***

2.
# K2Bi2Pb (PBE, optimized geometry)
# * energy above the most stable polymorph in this dataset: 0.00 eV/f.u.
# * magnetic moment: 0.000 μB/f.u.
# * calculated formation energy: -0.301 eV per atom
# * space group: C2/m, No. 12
# * N(E_F): 0.31 states/eV per atom
# * electronic total energy: -3.03 eV per atom
data_K2Bi2Pb
_space_group_name_H-M_alt 'P 1'
_space_group_IT_number 1
_cell_length_a 5.7513
_cell_length_b 7.1697
_cell_length_c 11.0152
_cell_angle_alpha 89.56
_cell_angle_beta 74.87
_cell_angle_gamma 66.35
loop_
_space_group_symop_operation_xyz
'x,y,z'
loop_
_atom_site_label
_atom_site_type_symbol
_atom_site_fract_x
_atom_site_fract_y
_atom_site_fract_z
K1 K 0.6749 0.3288 0.3213
K2 K 0.9224 0.2482 0.9070
K3 K 0.3251 0.6712 0.6787
K4 K 0.0776 0.7518 0.0930
Bi1 Bi 0.0656 0.2995 0.5693
Bi2 Bi 0.6419 0.8295 0.8867
Bi3 Bi 0.9344 0.7005 0.4307
Bi4 Bi 0.3581 0.1705 0.1133
Pb1 Pb 0.6400 0.0743 0.6457
Pb2 Pb 0.3600 0.9257 0.3543

***

3.
# KBiPb (PBE, optimized geometry)
# * magnetic moment: 0.000 μB/f.u.
# * calculated formation energy: -0.217 eV per atom
# * space group: P3m1, No. 156
# * N(E_F): 0.24 states/eV per atom
# * electronic total energy: -3.11 eV per atom
data_KBiPb
_space_group_name_H-M_alt 'P 1'
_space_group_IT_number 1
_cell_length_a 3.7152
_cell_length_b 5.7118
_cell_length_c 5.7118
_cell_angle_alpha 120.00
_cell_angle_beta 90.00
_cell_angle_gamma 90.00
loop_
_space_group_symop_operation_xyz
'x,y,z'
loop_
_atom_site_label
_atom_site_type_symbol
_atom_site_fract_x
_atom_site_fract_y
_atom_site_fract_z
Pb1 Pb 0.1675 0.3333 0.6667
K1 K 0.6665 0.6667 0.3333
Bi1 Bi 0.1660 0.0000 0.0000

***

4.
# KBiPb3 (PBE, optimized geometry)
# * energy above the most stable polymorph in this dataset: 0.06 eV/f.u.
# * magnetic moment: 0.000 μB/f.u.
# * calculated formation energy: -0.074 eV per atom
# * space group: C2/c, No. 15
# * N(E_F): 0.43 states/eV per atom
# * electronic total energy: -3.29 eV per atom
data_KBiPb3
_space_group_name_H-M_alt 'P 1'
_space_group_IT_number 1
_cell_length_a 6.9814
_cell_length_b 10.5298
_cell_length_c 11.4088
_cell_angle_alpha 117.48
_cell_angle_beta 94.87
_cell_angle_gamma 90.00
loop_
_space_group_symop_operation_xyz
'x,y,z'
loop_
_atom_site_label
_atom_site_type_symbol
_atom_site_fract_x
_atom_site_fract_y
_atom_site_fract_z
K1 K 0.7500 0.9473 0.0000
K2 K 0.2500 0.0527 0.0000
K3 K 0.7500 0.5984 0.0000
K4 K 0.2500 0.4016 0.0000
Bi1 Bi 0.3305 0.7910 0.1523
Bi2 Bi 0.1695 0.6387 0.8477
Bi3 Bi 0.6695 0.2090 0.8477
Bi4 Bi 0.8305 0.3613 0.1523
Pb1 Pb 0.3813 0.9641 0.6114
Pb2 Pb 0.1187 0.3527 0.3886
Pb3 Pb 0.6187 0.0359 0.3886
Pb4 Pb 0.8813 0.6473 0.6114
Pb5 Pb 0.1059 0.0347 0.3894
Pb6 Pb 0.3941 0.6453 0.6106
Pb7 Pb 0.8941 0.9653 0.6106
Pb8 Pb 0.6059 0.3547 0.3894
Pb9 Pb 0.6101 0.6767 0.3490
Pb10 Pb 0.8899 0.3277 0.6510
Pb11 Pb 0.3899 0.3233 0.6510
Pb12 Pb 0.1101 0.6723 0.3490

***

5.
# K2BiPb (PBE, optimized geometry)
# * energy above the most stable polymorph in this dataset: 0.46 eV/f.u.
# * magnetic moment: 0.000 μB/f.u.
# * calculated formation energy: -0.088 eV per atom
# * space group: Fm-3m, No. 225
# * N(E_F): 0.90 states/eV per atom
# * electronic total energy: -2.53 eV per atom
data_K2BiPb
_space_group_name_H-M_alt 'P 1'
_space_group_IT_number 1
_cell_length_a 5.9448
_cell_length_b 5.9448
_cell_length_c 5.9448
_cell_angle_alpha 60.00
_cell_angle_beta 60.00
_cell_angle_gamma 60.00
loop_
_space_group_symop_operation_xyz
'x,y,z'
loop_
_atom_site_label
_atom_site_type_symbol
_atom_site_fract_x
_atom_site_fract_y
_atom_site_fract_z
Pb1 Pb 0.0000 0.0000 0.0000
K1 K 0.2500 0.2500 0.2500
K2 K 0.7500 0.7500 0.7500
Bi1 Bi 0.5000 0.5000 0.5000

***

6.
# KBiPb (PBE, optimized geometry)
# * magnetic moment: 0.000 μB/f.u.
# * calculated formation energy: -0.290 eV per atom
# * space group: Imm2, No. 44
# * N(E_F): 0.26 states/eV per atom
# * electronic total energy: -3.19 eV per atom
data_KBiPb
_space_group_name_H-M_alt 'P 1'
_space_group_IT_number 1
_cell_length_a 6.7718
_cell_length_b 6.7718
_cell_length_c 6.7718
_cell_angle_alpha 121.16
_cell_angle_beta 119.13
_cell_angle_gamma 89.75
loop_
_space_group_symop_operation_xyz
'x,y,z'
loop_
_atom_site_label
_atom_site_type_symbol
_atom_site_fract_x
_atom_site_fract_y
_atom_site_fract_z
K1 K 0.0004 0.0004 0.0000
K2 K 0.2502 0.7502 0.5000
Bi1 Bi 0.6232 0.3716 0.2516
Bi2 Bi 0.1200 0.3716 0.7484
Pb1 Pb 0.6281 0.3764 0.7483
Pb2 Pb 0.6281 0.8798 0.2517

***

7.
# KBi4Pb6 (PBE, optimized geometry)
# * energy above the most stable polymorph in this dataset: 0.00 eV/f.u.
# * magnetic moment: 0.000 μB/f.u.
# * calculated formation energy: -0.045 eV per atom
# * space group: P-6m2, No. 187
# * N(E_F): 0.30 states/eV per atom
# * electronic total energy: -3.58 eV per atom
data_KBi4Pb6
_space_group_name_H-M_alt 'P 1'
_space_group_IT_number 1
_cell_length_a 4.9027
_cell_length_b 9.6771
_cell_length_c 9.6771
_cell_angle_alpha 120.00
_cell_angle_beta 90.00
_cell_angle_gamma 90.00
loop_
_space_group_symop_operation_xyz
'x,y,z'
loop_
_atom_site_label
_atom_site_type_symbol
_atom_site_fract_x
_atom_site_fract_y
_atom_site_fract_z
K1 K 0.0000 0.0000 0.0000
Bi1 Bi 0.5000 0.8156 0.6313
Bi2 Bi 0.5000 0.3687 0.1844
Bi3 Bi 0.5000 0.8156 0.1844
Bi4 Bi 0.0000 0.3333 0.6667
Pb1 Pb 0.0000 0.5436 0.0872
Pb2 Pb 0.5000 0.6098 0.8049
Pb3 Pb 0.0000 0.5436 0.4564
Pb4 Pb 0.0000 0.9128 0.4564
Pb5 Pb 0.5000 0.1951 0.8049
Pb6 Pb 0.5000 0.1951 0.3902

***

8.
# K2BiPb (PBE, optimized geometry)
# * energy above the most stable polymorph in this dataset: 0.08 eV/f.u.
# * magnetic moment: 0.000 μB/f.u.
# * calculated formation energy: -0.183 eV per atom
# * space group: P4/mmm, No. 123
# * N(E_F): 0.79 states/eV per atom
# * electronic total energy: -2.63 eV per atom
data_K2BiPb
_space_group_name_H-M_alt 'P 1'
_space_group_IT_number 1
_cell_length_a 5.5361
_cell_length_b 5.0879
_cell_length_c 5.0879
_cell_angle_alpha 90.00
_cell_angle_beta 90.00
_cell_angle_gamma 90.00
loop_
_space_group_symop_operation_xyz
'x,y,z'
loop_
_atom_site_label
_atom_site_type_symbol
_atom_site_fract_x
_atom_site_fract_y
_atom_site_fract_z
Pb1 Pb 0.5000 0.0000 0.0000
K1 K 0.0000 0.0000 0.5000
K2 K 0.0000 0.5000 0.0000
Bi1 Bi 0.5000 0.5000 0.5000

***

9.
# K3BiPb (PBE, optimized geometry)
# * energy above the most stable polymorph in this dataset: 0.00 eV/f.u.
# * magnetic moment: 0.000 μB/f.u.
# * calculated formation energy: -0.207 eV per atom
# * space group: Cmcm, No. 63
# * N(E_F): 0.80 states/eV per atom
# * electronic total energy: -2.38 eV per atom
data_K3BiPb
_space_group_name_H-M_alt 'P 1'
_space_group_IT_number 1
_cell_length_a 5.8549
_cell_length_b 6.6199
_cell_length_c 12.1139
_cell_angle_alpha 90.00
_cell_angle_beta 90.00
_cell_angle_gamma 116.25
loop_
_space_group_symop_operation_xyz
'x,y,z'
loop_
_atom_site_label
_atom_site_type_symbol
_atom_site_fract_x
_atom_site_fract_y
_atom_site_fract_z
K1 K 0.8645 0.3766 0.5784
K2 K 0.8645 0.3766 0.9216
K3 K 0.5852 0.8180 0.7500
K4 K 0.4880 0.6234 0.0784
K5 K 0.4880 0.6234 0.4216
K6 K 0.7671 0.1820 0.2500
Bi1 Bi 0.1763 0.0000 0.5000
Bi2 Bi 0.1763 0.0000 0.0000
Pb1 Pb 0.2734 0.1945 0.7500
Pb2 Pb 0.0789 0.8055 0.2500

***

10.
# KBiPb (PBE, optimized geometry)
# * magnetic moment: 0.000 μB/f.u.
# * calculated formation energy: -0.241 eV per atom
# * space group: P4/nmm, No. 129
# * N(E_F): 0.49 states/eV per atom
# * electronic total energy: -3.14 eV per atom
data_KBiPb
_space_group_name_H-M_alt 'P 1'
_space_group_IT_number 1
_cell_length_a 5.4172
_cell_length_b 5.4172
_cell_length_c 8.4186
_cell_angle_alpha 90.00
_cell_angle_beta 90.00
_cell_angle_gamma 90.00
loop_
_space_group_symop_operation_xyz
'x,y,z'
loop_
_atom_site_label
_atom_site_type_symbol
_atom_site_fract_x
_atom_site_fract_y
_atom_site_fract_z
K1 K 0.7500 0.7500 0.3367
K2 K 0.2500 0.2500 0.6633
Bi1 Bi 0.2500 0.2500 0.2265
Bi2 Bi 0.7500 0.7500 0.7735
Pb1 Pb 0.2500 0.7500 0.0000
Pb2 Pb 0.7500 0.2500 0.0000